## SmAl3C3 (PBE)

Data for a relaxed structure of SmAl3C3.

Computed properties:
* electronic total energy: -6.45 eV per atom

Cell: 3.4606 3.4606 17.5369 Å, 90.00 90.00 120.00°
Closest atoms and distances in Å follow each position.
Fractional coordinates of all 14 atoms:
Sm 0.0000 0.0000 0.0000  6 C 2.62
Sm 0.0000 0.0000 0.5000  6 C 2.62
Al 0.3333 0.6667 0.1354  4 C 2.01-2.11
Al 0.3333 0.6667 0.3646  4 C 2.01-2.11
Al 0.3333 0.6667 0.7500  3 C 2.00
Al 0.6667 0.3333 0.2500  3 C 2.00
Al 0.6667 0.3333 0.6354  4 C 2.01-2.11
Al 0.6667 0.3333 0.8646  4 C 2.01-2.11
C 0.3333 0.6667 0.2500  5 Al 2.00-2.01
C 0.3333 0.6667 0.5964  3 Al 2.11
C 0.3333 0.6667 0.9036  3 Al 2.11
C 0.6667 0.3333 0.0964  3 Al 2.11
C 0.6667 0.3333 0.4036  3 Al 2.11
C 0.6667 0.3333 0.7500  5 Al 2.00-2.01